{
  "formula": "RbCaPrCl6",
  "functional": "PBE",
  "state": "relaxed",
  "e_form_raw_ev_per_atom": -2.2762,
  "magmom_total_mub_per_atom": 0.00,
  "dos_ef_per_ev_atom": 0.000,
  "space_group": "P-31c",
  "energy_ev_per_atom": -4.368,
  "cell": [[7.305, 0.000, 0.000], [-3.652, 6.326, 0.000], [0.000, 0.000, 14.138]],
  "species": ["Rb", "Rb", "Ca", "Ca", "Pr", "Pr", "Cl", "Cl", "Cl", "Cl", "Cl", "Cl", "Cl", "Cl", "Cl", "Cl", "Cl", "Cl"],
  "frac_coords": [[0.000, 0.000, 0.000], [0.000, 0.000, 0.500], [0.333, 0.667, 0.250], [0.667, 0.333, 0.750], [0.333, 0.667, 0.750], [0.667, 0.333, 0.250], [0.002, 0.375, 0.141], [0.002, 0.627, 0.359], [0.373, 0.375, 0.359], [0.373, 0.998, 0.141], [0.375, 0.002, 0.641], [0.375, 0.373, 0.859], [0.625, 0.627, 0.141], [0.625, 0.998, 0.359], [0.627, 0.002, 0.859], [0.627, 0.625, 0.641], [0.998, 0.373, 0.641], [0.998, 0.625, 0.859]]
}